one) The following is a PBE calculation of Nd3Tm3In2 after structural relaxation, from Alexandria.

The structure in CIF format:
```
data_Nd3Tm3In2
_space_group_name_H-M_alt 'C m c m'
_space_group_IT_number 63
_space_group_name_Hall '-C 2c 2'
_cell_length_a 5.096
_cell_length_b 11.814
_cell_length_c 16.634
_cell_angle_alpha 90.00
_cell_angle_beta 90.00
_cell_angle_gamma 90.00
loop_
_atom_site_label
_atom_site_fract_x
_atom_site_fract_y
_atom_site_fract_z
Nd1 0.000 0.046 0.103
Nd2 0.000 0.274 0.250
Tm1 0.000 0.362 0.041
Tm2 0.000 0.446 0.750
In1 0.000 0.240 0.627
```

DOS at the Fermi energy   40.698 states/eV per cell

***

two) The following is a PBE calculation of Nd3Tm3In2 after structural relaxation, from Alexandria.

The structure in CIF format:
```
data_Nd3Tm3In2
_space_group_name_H-M_alt 'P m m m'
_space_group_IT_number 47
_cell_length_a 4.861
_cell_length_b 4.873
_cell_length_c 9.870
_cell_angle_alpha 90.00
_cell_angle_beta 90.00
_cell_angle_gamma 90.00
loop_
_space_group_symop_operation_xyz
'x,y,z'
'-x,-y,-z'
'-x,-y,z'
'x,y,-z'
'x,-y,-z'
'-x,y,z'
'-x,y,-z'
'x,-y,z'
loop_
_atom_site_label
_atom_site_fract_x
_atom_site_fract_y
_atom_site_fract_z
Nd1 0.000 0.000 0.000
Nd2 0.000 0.000 0.500
Nd3 0.500 0.500 0.000
Tm1 0.500 0.000 0.253
Tm2 0.500 0.500 0.500
In1 0.000 0.500 0.255
```

DOS at the Fermi energy   11.175 states/eV per cell

***

The structure with the greatest stability is two).

***

one) The following is a PBE calculation of Nd6Tm2In after structural relaxation, from Alexandria.

The structure in CIF format:
```
data_Nd6Tm2In
_space_group_name_H-M_alt 'P 42/m n m'
_space_group_IT_number 136
_space_group_name_Hall '-P 4n 2n'
_cell_length_a 10.846
_cell_length_b 10.846
_cell_length_c 4.982
_cell_angle_alpha 90.00
_cell_angle_beta 90.00
_cell_angle_gamma 90.00
loop_
_atom_site_label
_atom_site_fract_x
_atom_site_fract_y
_atom_site_fract_z
Nd1 0.005 0.332 0.000
Nd2 0.157 0.157 0.500
Tm1 0.163 0.837 0.500
In1 0.000 0.000 0.000
```

DOS at the Fermi energy   26.137 states/eV per cell

***

two) The following is a PBE calculation of Nd6Tm2In after structural relaxation, from Alexandria.

The structure in CIF format:
```
data_Nd6Tm2In
_space_group_name_H-M_alt 'I b a m'
_space_group_IT_number 72
_space_group_name_Hall '-I 2 2c'
_cell_length_a 6.338
_cell_length_b 9.264
_cell_length_c 19.944
_cell_angle_alpha 90.00
_cell_angle_beta 90.00
_cell_angle_gamma 90.00
loop_
_atom_site_label
_atom_site_fract_x
_atom_site_fract_y
_atom_site_fract_z
Nd1 0.000 0.000 0.081
Nd2 0.110 0.322 0.171
Tm1 0.076 0.328 0.500
In1 0.000 0.000 0.250
```

DOS at the Fermi energy   41.104 states/eV per cell

***

The structure with the greatest stability is one).

***

one) The following is a PBE calculation of Nd3TmIn after structural relaxation, from Alexandria.

The structure in CIF format:
```
data_Nd3TmIn
_space_group_name_H-M_alt 'I m a 2'
_space_group_IT_number 46
_cell_length_a 11.451
_cell_length_b 8.361
_cell_length_c 7.005
_cell_angle_alpha 90.00
_cell_angle_beta 90.00
_cell_angle_gamma 90.00
loop_
_space_group_symop_operation_xyz
'x,y,z'
'-x,-y,z'
'-x+1/2,y,z'
'x+1/2,-y,z'
'x+1/2,y+1/2,z+1/2'
'-x+1/2,-y+1/2,z+1/2'
'-x,y+1/2,z+1/2'
'x,-y+1/2,z+1/2'
loop_
_atom_site_label
_atom_site_fract_x
_atom_site_fract_y
_atom_site_fract_z
Nd1 0.028 0.248 0.000
Nd2 0.250 0.067 0.755
Tm1 0.250 0.749 0.513
In1 0.250 0.058 0.258
```

DOS at the Fermi energy   27.269 states/eV per cell

***

two) The following is a PBE calculation of Nd3TmIn after structural relaxation, from Alexandria.

The structure in CIF format:
```
data_Nd3TmIn
_space_group_name_H-M_alt 'C m c m'
_space_group_IT_number 63
_space_group_name_Hall '-C 2c 2'
_cell_length_a 4.925
_cell_length_b 25.539
_cell_length_c 4.924
_cell_angle_alpha 90.00
_cell_angle_beta 90.00
_cell_angle_gamma 90.00
loop_
_atom_site_label
_atom_site_fract_x
_atom_site_fract_y
_atom_site_fract_z
Nd1 0.000 0.054 0.250
Nd2 0.000 0.251 0.250
Nd3 0.000 0.444 0.250
Tm1 0.000 0.348 0.750
In1 0.000 0.153 0.750
```

DOS at the Fermi energy   22.647 states/eV per cell

***

The structure with the greatest stability is two).